DFT (GGA-PBE) results for crystalline ReAg2 at its relaxed geometry.

Unit cell a=2.7853 b=2.7853 c=7.3528 alpha=90.00 beta=90.00 gamma=120.00
Fractional positions:
Re 0.0000 0.0000 0.0000
Ag 0.3333 0.6667 0.6691
Ag 0.6667 0.3333 0.3309

The value obtained for the magnetization is 0.000 μB per atom. The raw total energy comes out at -5.5737 eV per atom. The calculation puts the formation energy from the elements at 0.477 eV per atom.